! BiBTeI2 | Alexandria via LeMat-Bulk | PBE | optimized geometry; values from VASP
! - Distance to the lowest polymorph of the same formula: 0.446 eV/atom
! - Uncorrected formation energy: 1.10 eV per atom
! - DFT total energy: -11.305 eV for the cell shown
&SYSTEM
  ibrav = 0, nat = 5, ntyp = 4
/
ATOMIC_SPECIES
Bi 208.98 Bi.upf
B 10.81 B.upf
Te 127.60 Te.upf
I 126.90 I.upf
ATOMIC_POSITIONS crystal
Bi 0.000 0.000 0.000
B 0.500 0.500 0.500
Te 0.000 0.000 0.500
I 0.000 0.500 0.000
I 0.500 0.000 0.000
CELL_PARAMETERS angstrom
6.092 0.000 0.000
0.000 6.092 0.000
0.000 0.000 6.098

***

! Sm2SBr | Alexandria via LeMat-Bulk | PBE | optimized geometry; values from VASP
! - Distance to the lowest polymorph of the same formula: 0.012 eV/atom
! - Uncorrected formation energy: -1.55 eV per atom
! - DFT total energy: -21.433 eV for the cell shown
&SYSTEM
  ibrav = 0, nat = 4, ntyp = 3
/
ATOMIC_SPECIES
Sm 150.36 Sm.upf
S 32.06 S.upf
Br 79.90 Br.upf
ATOMIC_POSITIONS crystal
Sm 0.000 0.000 0.000
Sm 0.197 0.197 0.197
S 0.598 0.598 0.598
Br 0.430 0.430 0.430
CELL_PARAMETERS angstrom
1.944 1.122 7.738
-1.944 1.122 7.738
0.000 -2.244 7.738